VS2Cl after structural relaxation. Source: the Alexandria database, functional GGA-PBE.

```
VS2Cl
1.0
1.577 0.911 8.891
-1.577 0.911 8.891
0.000 -1.821 8.891
V S Cl
1 2 1
direct
0.000 0.000 0.000
0.278 0.278 0.278
0.722 0.722 0.722
0.500 0.500 0.500
```

Summary:
Uncorrected energy: -0.389 Ry/atom
Distance to the lowest polymorph of the same formula: 198 meV/atom
Formation energy from raw total energies: -186 kJ/mol of formula units
Theoretical density: 3.3 g/cm³